# 1
Density functional theory data (GGA-PBE) for an optimized crystal structure of Tm2BeTe.

CIF file:
```
data_Tm2BeTe
_space_group_name_H-M_alt 'R -3 m'
_space_group_IT_number 166
_space_group_name_Hall '-R 3 2"'
_cell_length_a 3.9669
_cell_length_b 3.9669
_cell_length_c 21.9744
_cell_angle_alpha 90.00
_cell_angle_beta 90.00
_cell_angle_gamma 120.00
loop_
_atom_site_label
_atom_site_type_symbol
_atom_site_fract_x
_atom_site_fract_y
_atom_site_fract_z
Tm1 Tm 0.0000 0.0000 0.2410
Be1 Be 0.0000 0.0000 0.5000
Te1 Te 0.0000 0.0000 0.0000
```

## Properties
**Final energy**: -4.4208 eV per atom
**Total moment**: 0.00 μB/f.u.
**Formation energy (no corrections)**: -1.87 eV per formula unit
**Mass density**: 7.9 g/cm3

# 2
Density functional theory data (GGA-PBE) for an optimized crystal structure of Li2FeRu.

CIF file:
```
data_Li2FeRu
_space_group_name_H-M_alt 'P 4 m m'
_space_group_IT_number 99
_cell_length_a 2.7636
_cell_length_b 2.7636
_cell_length_c 7.4264
_cell_angle_alpha 90.00
_cell_angle_beta 90.00
_cell_angle_gamma 90.00
loop_
_space_group_symop_operation_xyz
'x,y,z'
'-y,x,z'
'-x,-y,z'
'y,-x,z'
'-x,y,z'
'y,x,z'
'x,-y,z'
'-y,-x,z'
loop_
_atom_site_label
_atom_site_type_symbol
_atom_site_fract_x
_atom_site_fract_y
_atom_site_fract_z
Li1 Li 0.0000 0.0000 0.0000
Li2 Li 0.5000 0.5000 0.3024
Fe1 Fe 0.5000 0.5000 0.7557
Ru1 Ru 0.0000 0.0000 0.5620
```

## Properties
**Final energy**: -5.1889 eV per atom
**Total moment**: 1.39 μB/f.u.
**ΔE_f**: 203 meV per atom
**Mass density**: 5.0 g/cm3

# 3
Density functional theory data (GGA-PBE) for an optimized crystal structure of LaGe2OsCl.

CIF file:
```
data_LaGe2OsCl
_space_group_name_H-M_alt 'P 4/m m m'
_space_group_IT_number 123
_space_group_name_Hall '-P 4 2'
_cell_length_a 5.7646
_cell_length_b 5.7646
_cell_length_c 5.2411
_cell_angle_alpha 90.00
_cell_angle_beta 90.00
_cell_angle_gamma 90.00
loop_
_atom_site_label
_atom_site_type_symbol
_atom_site_fract_x
_atom_site_fract_y
_atom_site_fract_z
La1 La 0.0000 0.0000 0.0000
Ge1 Ge 0.0000 0.5000 0.0000
Os1 Os 0.5000 0.5000 0.5000
Cl1 Cl 0.0000 0.0000 0.5000
```

## Properties
**Final energy**: -4.0860 eV per atom
**Total moment**: 2.81 μB/f.u.
**Formation energy (no corrections)**: 6.81 eV per formula unit
**Mass density**: 4.9 g/cm3

# 4
Density functional theory data (GGA-PBE) for an optimized crystal structure of AcThMg4.

CIF file:
```
data_AcThMg4
_space_group_name_H-M_alt 'F -4 3 m'
_space_group_IT_number 216
_space_group_name_Hall 'F -4 2 3'
_cell_length_a 8.7572
_cell_length_b 8.7572
_cell_length_c 8.7572
_cell_angle_alpha 90.00
_cell_angle_beta 90.00
_cell_angle_gamma 90.00
loop_
_atom_site_label
_atom_site_type_symbol
_atom_site_fract_x
_atom_site_fract_y
_atom_site_fract_z
Ac1 Ac 0.0000 0.0000 0.0000
Th1 Th 0.2500 0.2500 0.7500
Mg1 Mg 0.1241 0.1241 0.3759
```

## Properties
**Final energy**: -3.0113 eV per atom
**Total moment**: 0.00 μB/f.u.
**ΔE_f**: -27 meV per atom
**Mass density**: 5.5 g/cm3

# 5
Density functional theory data (GGA-PBE) for an optimized crystal structure of LaNdEr5.

CIF file:
```
data_LaNdEr5
_space_group_name_H-M_alt 'I m m m'
_space_group_IT_number 71
_space_group_name_Hall '-I 2 2'
_cell_length_a 5.7619
_cell_length_b 8.6410
_cell_length_c 11.8249
_cell_angle_alpha 90.00
_cell_angle_beta 90.00
_cell_angle_gamma 90.00
loop_
_atom_site_label
_atom_site_type_symbol
_atom_site_fract_x
_atom_site_fract_y
_atom_site_fract_z
La1 La 0.0000 0.0000 0.0000
Nd1 Nd 0.0000 0.0000 0.5000
Er1 Er 0.0000 0.0000 0.2540
Er2 Er 0.0000 0.3211 0.5000
Er3 Er 0.0000 0.5000 0.0000
```

## Properties
**Final energy**: -3.5303 eV per atom
**Total moment**: 0.00 μB/f.u.
**ΔE_f**: 1114 meV per atom
**Mass density**: 6.3 g/cm3

# 6
Density functional theory data (GGA-PBE) for an optimized crystal structure of Tb2US5.

CIF file:
```
data_Tb2US5
_space_group_name_H-M_alt 'F m m m'
_space_group_IT_number 69
_space_group_name_Hall '-F 2 2'
_cell_length_a 5.3914
_cell_length_b 8.9880
_cell_length_c 14.7015
_cell_angle_alpha 90.00
_cell_angle_beta 90.00
_cell_angle_gamma 90.00
loop_
_atom_site_label
_atom_site_type_symbol
_atom_site_fract_x
_atom_site_fract_y
_atom_site_fract_z
Tb1 Tb 0.0000 0.0000 0.1798
U1 U 0.0000 0.0000 0.5000
S1 S 0.0000 0.0000 0.0000
S2 S 0.0000 0.1639 0.3468
```

## Properties
**Final energy**: -6.6514 eV per atom
**Total moment**: 1.77 μB/f.u.
**Formation energy (no corrections)**: -12.03 eV per formula unit
**Mass density**: 6.7 g/cm3

# 7
Density functional theory data (GGA-PBE) for an optimized crystal structure of NbCrCu3.

CIF file:
```
data_NbCrCu3
_space_group_name_H-M_alt 'P m -3 m'
_space_group_IT_number 221
_space_group_name_Hall '-P 4 2 3'
_cell_length_a 4.3187
_cell_length_b 4.3187
_cell_length_c 4.3187
_cell_angle_alpha 90.00
_cell_angle_beta 90.00
_cell_angle_gamma 90.00
loop_
_atom_site_label
_atom_site_type_symbol
_atom_site_fract_x
_atom_site_fract_y
_atom_site_fract_z
Nb1 Nb 0.0000 0.0000 0.0000
Cr1 Cr 0.5000 0.5000 0.5000
Cu1 Cu 0.0000 0.5000 0.5000
```

## Properties
**Final energy**: -5.0905 eV per atom
**Total moment**: 0.00 μB/f.u.
**ΔE_f**: 1306 meV per atom
**Mass density**: 6.9 g/cm3

# 8
Density functional theory data (GGA-PBE) for an optimized crystal structure of CaTlCu.

CIF file:
```
data_CaTlCu
_space_group_name_H-M_alt 'P -6 m 2'
_space_group_IT_number 187
_space_group_name_Hall 'P -6 2'
_cell_length_a 4.7127
_cell_length_b 4.7127
_cell_length_c 3.7296
_cell_angle_alpha 90.00
_cell_angle_beta 90.00
_cell_angle_gamma 120.00
loop_
_atom_site_label
_atom_site_type_symbol
_atom_site_fract_x
_atom_site_fract_y
_atom_site_fract_z
Ca1 Ca 0.0000 0.0000 0.0000
Tl1 Tl 0.3333 0.6667 0.5000
Cu1 Cu 0.6667 0.3333 0.5000
```

## Properties
**Final energy**: -3.0137 eV per atom
**Total moment**: 0.00 μB/f.u.
**ΔE_f**: -192 meV per atom
**Mass density**: 7.1 g/cm3

# 9
Density functional theory data (GGA-PBE) for an optimized crystal structure of Ho2ReCl.

CIF file:
```
data_Ho2ReCl
_space_group_name_H-M_alt 'R -3 m'
_space_group_IT_number 166
_space_group_name_Hall '-R 3 2"'
_cell_length_a 3.1355
_cell_length_b 3.1355
_cell_length_c 30.2368
_cell_angle_alpha 90.00
_cell_angle_beta 90.00
_cell_angle_gamma 120.00
loop_
_atom_site_label
_atom_site_type_symbol
_atom_site_fract_x
_atom_site_fract_y
_atom_site_fract_z
Ho1 Ho 0.0000 0.0000 0.0910
Re1 Re 0.0000 0.0000 0.0000
Cl1 Cl 0.0000 0.0000 0.5000
```

## Properties
**Final energy**: -5.7366 eV per atom
**Total moment**: 0.00 μB/f.u.
**Formation energy (no corrections)**: 0.50 eV per formula unit
**Mass density**: 10.7 g/cm3

# 10
Density functional theory data (GGA-PBE) for an optimized crystal structure of Na3AlI.

CIF file:
```
data_Na3AlI
_space_group_name_H-M_alt 'P m -3 m'
_space_group_IT_number 221
_space_group_name_Hall '-P 4 2 3'
_cell_length_a 5.9403
_cell_length_b 5.9403
_cell_length_c 5.9403
_cell_angle_alpha 90.00
_cell_angle_beta 90.00
_cell_angle_gamma 90.00
loop_
_atom_site_label
_atom_site_type_symbol
_atom_site_fract_x
_atom_site_fract_y
_atom_site_fract_z
Na1 Na 0.0000 0.0000 0.5000
Al1 Al 0.0000 0.0000 0.0000
I1 I 0.5000 0.5000 0.5000
```

## Properties
**Final energy**: -1.7825 eV per atom
**Total moment**: 2.96 μB/f.u.
**Formation energy (no corrections)**: 0.34 eV per formula unit
**Mass density**: 1.8 g/cm3

# 11
Density functional theory data (GGA-PBE) for an optimized crystal structure of Ce2Ni5Ir5.

CIF file:
```
data_Ce2Ni5Ir5
_space_group_name_H-M_alt 'P m m m'
_space_group_IT_number 47
_cell_length_a 4.2219
_cell_length_b 5.0101
_cell_length_c 8.9395
_cell_angle_alpha 90.00
_cell_angle_beta 90.00
_cell_angle_gamma 90.00
loop_
_space_group_symop_operation_xyz
'x,y,z'
'-x,-y,-z'
'-x,-y,z'
'x,y,-z'
'x,-y,-z'
'-x,y,z'
'-x,y,-z'
'x,-y,z'
loop_
_atom_site_label
_atom_site_type_symbol
_atom_site_fract_x
_atom_site_fract_y
_atom_site_fract_z
Ce1 Ce 0.0000 0.0000 0.0000
Ce2 Ce 0.0000 0.5000 0.5000
Ni1 Ni 0.5000 0.0000 0.5000
Ni2 Ni 0.5000 0.2442 0.2501
Ir1 Ir 0.0000 0.0000 0.3399
Ir2 Ir 0.0000 0.5000 0.1850
Ir3 Ir 0.5000 0.5000 0.0000
```

## Properties
**Final energy**: -7.4360 eV per atom
**Total moment**: 0.00 μB/f.u.
**ΔE_f**: -346 meV per atom
**Mass density**: 13.5 g/cm3

# 12
Density functional theory data (GGA-PBE) for an optimized crystal structure of TbCe2Si2Au2.

CIF file:
```
data_TbCe2Si2Au2
_space_group_name_H-M_alt 'R -3 m'
_space_group_IT_number 166
_space_group_name_Hall '-R 3 2"'
_cell_length_a 4.3242
_cell_length_b 4.3242
_cell_length_c 27.7013
_cell_angle_alpha 90.00
_cell_angle_beta 90.00
_cell_angle_gamma 120.00
loop_
_atom_site_label
_atom_site_type_symbol
_atom_site_fract_x
_atom_site_fract_y
_atom_site_fract_z
Tb1 Tb 0.0000 0.0000 0.0000
Ce1 Ce 0.0000 0.0000 0.1412
Si1 Si 0.0000 0.0000 0.2585
Au1 Au 0.0000 0.0000 0.4008
```

## Properties
**Final energy**: -5.4817 eV per atom
**Total moment**: 1.46 μB/f.u.
**Formation energy (no corrections)**: -4.47 eV per formula unit
**Mass density**: 9.9 g/cm3